# Rb4Pt2Pb3 PBE relaxed
data_Rb4Pt2Pb3
_space_group_name_H-M_alt 'P 1'
_space_group_IT_number 1
_space_group_name_Hall 'P 1'
_cell_length_a 9.808
_cell_length_b 9.808
_cell_length_c 9.032
_cell_angle_alpha 108.19
_cell_angle_beta 108.19
_cell_angle_gamma 25.64
loop_
_atom_site_label
_atom_site_type_symbol
_atom_site_fract_x
_atom_site_fract_y
_atom_site_fract_z
_atom_site_occupancy
Rb1 Rb 0.083 0.083 0.392 1
Rb2 Rb 0.278 0.278 0.831 1
Rb3 Rb 0.722 0.722 0.169 1
Rb4 Rb 0.917 0.917 0.608 1
Pt1 Pt 0.075 0.075 0.917 1
Pt2 Pt 0.925 0.925 0.083 1
Pb1 Pb 0.400 0.400 0.252 1
Pb2 Pb 0.500 0.500 0.000 1
Pb3 Pb 0.600 0.600 0.748 1
# electronic total energy: -28.5 eV per cell
# symmetry: No. 12
# size of the total moment: 0.000 μB/f.u.
# density of states at the Fermi level: 5.58 states/eV per cell
# mass density: 6.31 g/cm3

# Rb2PtPb2 PBE relaxed
data_Rb2PtPb2
_space_group_name_H-M_alt 'P 1'
_space_group_IT_number 1
_space_group_name_Hall 'P 1'
_cell_length_a 7.286
_cell_length_b 7.286
_cell_length_c 12.804
_cell_angle_alpha 119.17
_cell_angle_beta 119.17
_cell_angle_gamma 40.20
loop_
_atom_site_label
_atom_site_type_symbol
_atom_site_fract_x
_atom_site_fract_y
_atom_site_fract_z
_atom_site_occupancy
Rb1 Rb 0.022 0.022 0.163 1
Rb2 Rb 0.203 0.203 0.612 1
Rb3 Rb 0.797 0.797 0.388 1
Rb4 Rb 0.978 0.978 0.837 1
Pt1 Pt 0.305 0.305 0.155 1
Pt2 Pt 0.695 0.695 0.845 1
Pb1 Pb 0.300 0.300 0.934 1
Pb2 Pb 0.498 0.498 0.623 1
Pb3 Pb 0.502 0.502 0.377 1
Pb4 Pb 0.700 0.700 0.066 1
# electronic total energy: -32.5 eV per cell
# polymorph energy (0 for the lowest one): 0.000 eV/atom
# symmetry: No. 12
# size of the total moment: 0.000 μB/f.u.
# density of states at the Fermi level: 5.39 states/eV per cell
# mass density: 6.91 g/cm3

# Rb3Pt3Pb8 PBE relaxed
data_Rb3Pt3Pb8
_space_group_name_H-M_alt 'P 1'
_space_group_IT_number 1
_space_group_name_Hall 'P 1'
_cell_length_a 9.862
_cell_length_b 9.862
_cell_length_c 9.862
_cell_angle_alpha 150.64
_cell_angle_beta 104.08
_cell_angle_gamma 83.41
loop_
_atom_site_label
_atom_site_type_symbol
_atom_site_fract_x
_atom_site_fract_y
_atom_site_fract_z
_atom_site_occupancy
Rb1 Rb 0.000 0.000 0.000 1
Rb2 Rb 0.341 0.341 0.000 1
Rb3 Rb 0.659 0.659 0.000 1
Pt1 Pt 0.237 0.500 0.737 1
Pt2 Pt 0.500 0.000 0.500 1
Pt3 Pt 0.763 0.500 0.263 1
Pb1 Pb 0.032 0.670 0.362 1
Pb2 Pb 0.194 0.894 0.300 1
Pb3 Pb 0.307 0.670 0.638 1
Pb4 Pb 0.406 0.106 0.300 1
Pb5 Pb 0.594 0.894 0.700 1
Pb6 Pb 0.693 0.330 0.362 1
Pb7 Pb 0.806 0.106 0.700 1
Pb8 Pb 0.968 0.330 0.638 1
# electronic total energy: -52.0 eV per cell
# symmetry: No. 71
# size of the total moment: 0.000 μB/f.u.
# density of states at the Fermi level: 7.93 states/eV per cell
# mass density: 9.29 g/cm3

# RbPtPb PBE relaxed
data_RbPtPb
_space_group_name_H-M_alt 'P 1'
_space_group_IT_number 1
_space_group_name_Hall 'P 1'
_cell_length_a 4.679
_cell_length_b 4.679
_cell_length_c 5.612
_cell_angle_alpha 90.00
_cell_angle_beta 90.00
_cell_angle_gamma 120.00
loop_
_atom_site_label
_atom_site_type_symbol
_atom_site_fract_x
_atom_site_fract_y
_atom_site_fract_z
_atom_site_occupancy
Rb1 Rb 0.000 0.000 0.000 1
Pt1 Pt 0.333 0.667 0.508 1
Pb1 Pb 0.667 0.333 0.499 1
# electronic total energy: -11.0 eV per cell
# polymorph energy (0 for the lowest one): 0.131 eV/atom
# symmetry: No. 156
# size of the total moment: 0.000 μB/f.u.
# density of states at the Fermi level: 2.87 states/eV per cell
# mass density: 7.61 g/cm3

# RbPt2Pb2 PBE relaxed
data_RbPt2Pb2
_space_group_name_H-M_alt 'P 1'
_space_group_IT_number 1
_space_group_name_Hall 'P 1'
_cell_length_a 6.600
_cell_length_b 6.600
_cell_length_c 6.600
_cell_angle_alpha 136.05
_cell_angle_beta 136.05
_cell_angle_gamma 63.90
loop_
_atom_site_label
_atom_site_type_symbol
_atom_site_fract_x
_atom_site_fract_y
_atom_site_fract_z
_atom_site_occupancy
Rb1 Rb 0.000 0.000 0.000 1
Pt1 Pt 0.381 0.381 0.000 1
Pt2 Pt 0.619 0.619 0.000 1
Pb1 Pb 0.250 0.750 0.500 1
Pb2 Pb 0.750 0.250 0.500 1
# electronic total energy: -21.4 eV per cell
# polymorph energy (0 for the lowest one): 0.073 eV/atom
# symmetry: No. 139
# size of the total moment: 0.000 μB/f.u.
# density of states at the Fermi level: 2.45 states/eV per cell
# mass density: 10.82 g/cm3

# RbPtPb2 PBE relaxed
data_RbPtPb2
_space_group_name_H-M_alt 'P 1'
_space_group_IT_number 1
_space_group_name_Hall 'P 1'
_cell_length_a 3.602
_cell_length_b 3.602
_cell_length_c 8.935
_cell_angle_alpha 90.00
_cell_angle_beta 90.00
_cell_angle_gamma 90.00
loop_
_atom_site_label
_atom_site_type_symbol
_atom_site_fract_x
_atom_site_fract_y
_atom_site_fract_z
_atom_site_occupancy
Rb1 Rb 0.000 0.000 0.000 1
Pt1 Pt 0.000 0.000 0.500 1
Pb1 Pb 0.500 0.500 0.321 1
Pb2 Pb 0.500 0.500 0.679 1
# electronic total energy: -15.1 eV per cell
# symmetry: No. 123
# size of the total moment: 0.000 μB/f.u.
# density of states at the Fermi level: 1.24 states/eV per cell
# mass density: 9.96 g/cm3